# Cr2Os

Cr2Os after structural relaxation (GGA-PBEsol, the Alexandria database).

Cell lengths 2.6278, 2.6278, 6.2615 Å; angles 90.00, 90.00, 120.00 degrees
With the nearest neighbours (Å) after each atom.
Space group P-3m1 (No. 164)
Asymmetric unit:
Cr 0.3333 0.6667 0.1622 [2 per cell]  9 Cr 2.54-2.63, 3 Os 2.60
Os 0.0000 0.0000 0.5000 [1 per cell]  6 Cr 2.60, 6 Os 2.63

Summary:
N(E_F) in states/eV per cell: 3.78
DFT formation energy in eV per formula unit: 0.8
DFT total energy in eV for the cell shown: -31.9